First-principles (PBE) data for a relaxed Er2CdSi4Pt3 crystal, as listed in Alexandria via LeMat-Bulk.

POSCAR file:
```
Er2CdSi4Pt3
1.0
4.150 0.000 0.000
0.000 4.150 0.000
0.000 0.000 10.370
Er Cd Si Pt
2 1 4 3
Direct
0.500 0.000 0.245
0.000 0.500 0.755
0.500 0.500 0.500
0.500 0.500 0.000
0.000 0.000 0.000
0.500 0.000 0.651
0.000 0.500 0.349
0.000 0.000 0.500
0.500 0.000 0.879
0.000 0.500 0.121
```

Results
formation energy from raw total energies	-866	meV per atom
DOS at the Fermi energy	3.459	states/eV/f.u.
space-group type	P-4m2, No. 115
size of the total moment	0.000	μB/atom